No. 1
Li3MoS: relaxed, GGA-PBE.

Summary:
E_form (uncorrected) (meV/atom): 1136
Space group: Pm-3m, No. 221
Density (g cm⁻³): 1.92

```
Li3MoS
1.0
-4.056 2.504 -1.670
-1.738 -4.237 -2.131
-2.458 -1.137 4.264
Mo Li S
1 3 1
Direct
0.000 0.000 0.000
0.000 0.000 0.500
0.000 0.500 0.000
0.500 0.000 0.000
0.500 0.500 0.500
```

No. 2
Li3MoS4: relaxed, GGA-PBE.

Summary:
E_form (uncorrected) (meV/atom): -905
Space group: Pmn2_1, No. 31
Density (g cm⁻³): 2.33

```
Li3MoS4
1.0
6.399 0.000 0.000
0.000 6.892 0.000
0.000 0.000 7.924
Li S Mo
6 8 2
Direct
0.003 0.672 0.246
0.510 0.848 0.000
0.503 0.328 0.746
0.503 0.328 0.254
0.010 0.152 0.500
0.003 0.672 0.754
0.614 0.673 0.735
0.152 0.820 0.500
0.616 0.134 0.500
0.116 0.866 0.000
0.652 0.180 0.000
0.114 0.327 0.765
0.614 0.673 0.265
0.114 0.327 0.235
0.003 0.175 0.000
0.503 0.825 0.500
```

No. 3
LiMo2S: relaxed, GGA-PBE.

Summary:
E_form (uncorrected) (meV/atom): 191
Space group: I-42d, No. 122
Density (g cm⁻³): 5.91

```
LiMo2S
1.0
7.630 0.000 0.000
0.000 7.630 0.000
3.815 3.815 2.228
Mo Li S
4 2 2
Direct
0.375 0.288 0.750
0.038 0.625 0.250
0.712 0.125 0.250
0.875 0.962 0.750
0.500 0.500 0.000
0.250 0.750 0.500
0.000 0.000 0.000
0.750 0.250 0.500
```